(1)
# InCuO3 (PBE, relaxed)
data_InCuO3
_chemical_formula_sum 'In3 Cu3 O9'
_space_group_name_H-M_alt 'R 3 m'
_space_group_IT_number 160
_space_group_name_Hall 'R 3 -2"'
_cell_length_a 3.4486
_cell_length_b 3.4486
_cell_length_c 17.1091
_cell_angle_alpha 90.00
_cell_angle_beta 90.00
_cell_angle_gamma 120.00
loop_
_atom_site_label
_atom_site_type_symbol
_atom_site_fract_x
_atom_site_fract_y
_atom_site_fract_z
_atom_site_occupancy
In1 In 0.0000 0.0000 0.0000 1
Cu1 Cu 0.0000 0.0000 0.4951 1
O1 O 0.0000 0.0000 0.1548 1
O2 O 0.0000 0.0000 0.3858 1
O3 O 0.0000 0.0000 0.6046 1
# Uncorrected formation energy: -0.95 eV/atom
# Total energy: -26.5 eV/f.u.
# Density: 6.4 g/cm3

(2)
# SmHoHgIr (PBE, relaxed)
data_SmHoHgIr
_chemical_formula_sum 'Sm4 Ho4 Hg4 Ir4'
_space_group_name_H-M_alt 'F -4 3 m'
_space_group_IT_number 216
_space_group_name_Hall 'F -4 2 3'
_cell_length_a 7.184
_cell_length_b 7.184
_cell_length_c 7.184
_cell_angle_alpha 90.00
_cell_angle_beta 90.00
_cell_angle_gamma 90.00
loop_
_atom_site_label
_atom_site_type_symbol
_atom_site_fract_x
_atom_site_fract_y
_atom_site_fract_z
_atom_site_occupancy
Sm1 Sm 0.000 0.000 0.000 1
Ho1 Ho 0.000 0.000 0.500 1
Hg1 Hg 0.250 0.250 0.250 1
Ir1 Ir 0.250 0.250 0.750 1
# Total energy: -20.8 eV/f.u.
# Density: 12.7 g/cm3
# Energy of formation from the pure elements: -0.583 eV/atom

(3)
# BeTc2Se (PBE, relaxed)
data_BeTc2Se
_chemical_formula_sum 'Be1 Tc2 Se1'
_space_group_name_H-M_alt 'P 1 2/m 1'
_space_group_IT_number 10
_space_group_name_Hall '-P 2y'
_cell_length_a 3.552
_cell_length_b 4.101
_cell_length_c 4.804
_cell_angle_alpha 90.00
_cell_angle_beta 105.28
_cell_angle_gamma 90.00
loop_
_atom_site_label
_atom_site_type_symbol
_atom_site_fract_x
_atom_site_fract_y
_atom_site_fract_z
_atom_site_occupancy
Be1 Be 0.000 0.000 0.000 1
Tc1 Tc 0.339 0.500 0.175 1
Se1 Se 0.500 0.000 0.500 1
# Uncorrected formation energy: 0.32 eV/atom
# Total energy: -26.7 eV/f.u.
# ΔE to the lowest computed polymorph: 1.399 eV per formula unit
# Density: 7.0 g/cm3

(4)
# RbMgAl3 (PBE, relaxed)
data_RbMgAl3
_chemical_formula_sum 'Rb1 Mg1 Al3'
_space_group_name_H-M_alt 'P m -3 m'
_space_group_IT_number 221
_space_group_name_Hall '-P 4 2 3'
_cell_length_a 5.402
_cell_length_b 5.402
_cell_length_c 5.402
_cell_angle_alpha 90.00
_cell_angle_beta 90.00
_cell_angle_gamma 90.00
loop_
_atom_site_label
_atom_site_type_symbol
_atom_site_fract_x
_atom_site_fract_y
_atom_site_fract_z
_atom_site_occupancy
Rb1 Rb 0.000 0.000 0.000 1
Mg1 Mg 0.500 0.500 0.500 1
Al1 Al 0.000 0.500 0.500 1
# Total energy: -10.6 eV/f.u.
# ΔE to the lowest computed polymorph: 0.000 eV per formula unit
# Density: 2.0 g/cm3
# Energy of formation from the pure elements: 0.643 eV/atom